# SiH2Cl

Crystalline SiH2Cl at its relaxed geometry (PBE, the Alexandria database).

a = 5.485 Å, b = 5.606 Å, c = 5.629 Å
α = 110.38°, β = 93.01°, γ = 92.90°
Sites, in units of the cell vectors:
1 Si 0.000 0.000 0.000
2 Si 0.127 0.361 0.360
3 H 0.212 0.855 0.890
4 H 0.279 0.558 0.301
5 H 0.849 0.061 0.804
6 H 0.915 0.471 0.505
7 Cl 0.350 0.235 0.599
8 Cl 0.777 0.760 0.123

Properties
E above lowest polymorph, eV/atom: 0.000

***

# SiH3Cl

Crystalline SiH3Cl at its relaxed geometry (PBE, the Alexandria database).

a = 3.570 Å, b = 3.570 Å, c = 3.570 Å
α = 90.00°, β = 90.00°, γ = 90.00°
Sites, in units of the cell vectors:
1 Si 0.000 0.000 0.000
2 H 0.000 0.000 0.500
3 H 0.000 0.500 0.000
4 H 0.500 0.000 0.000
5 Cl 0.500 0.500 0.500

Properties
Final energy, eV/cell: -15.48

***

# Si5H8Cl4

Crystalline Si5H8Cl4 at its relaxed geometry (PBE, the Alexandria database).

a = 7.563 Å, b = 7.563 Å, c = 7.563 Å
α = 103.42°, β = 103.42°, γ = 122.40°
Sites, in units of the cell vectors:
1 Si 0.000 0.000 0.000
2 Si 0.129 0.385 0.120
3 Si 0.265 0.008 0.880
4 Si 0.615 0.735 0.744
5 Si 0.992 0.871 0.256
6 H 0.096 0.456 0.303
7 H 0.153 0.793 0.697
8 H 0.207 0.904 0.360
9 H 0.376 0.552 0.158
10 H 0.393 0.217 0.842
11 H 0.448 0.607 0.824
12 H 0.544 0.847 0.640
13 H 0.783 0.624 0.176
14 Cl 0.517 0.041 0.103
15 Cl 0.586 0.483 0.524
16 Cl 0.938 0.414 0.897
17 Cl 0.959 0.062 0.476

Properties
Final energy, eV/cell: -67.26

***

# Si4HCl2

Crystalline Si4HCl2 at its relaxed geometry (PBE, the Alexandria database).

a = 3.611 Å, b = 3.611 Å, c = 19.826 Å
α = 90.00°, β = 90.00°, γ = 90.00°
Sites, in units of the cell vectors:
1 Si 0.000 0.000 0.110
2 Si 0.000 0.000 0.890
3 Si 0.000 0.500 0.000
4 Si 0.000 0.500 0.500
5 Si 0.500 0.000 0.000
6 Si 0.500 0.000 0.500
7 Si 0.500 0.500 0.390
8 Si 0.500 0.500 0.610
9 H 0.000 0.000 0.000
10 H 0.500 0.500 0.500
11 Cl 0.000 0.000 0.333
12 Cl 0.000 0.000 0.667
13 Cl 0.500 0.500 0.167
14 Cl 0.500 0.500 0.833

Properties
Final energy, eV/cell: -52.30

***

# SiH2Cl8

Crystalline SiH2Cl8 at its relaxed geometry (PBE, the Alexandria database).

a = 7.024 Å, b = 7.024 Å, c = 7.514 Å
α = 90.18°, β = 90.18°, γ = 73.64°
Sites, in units of the cell vectors:
1 Si 0.000 0.000 0.000
2 H 0.243 0.243 0.654
3 H 0.757 0.757 0.346
4 Cl 0.120 0.752 0.183
5 Cl 0.172 0.172 0.135
6 Cl 0.248 0.880 0.817
7 Cl 0.342 0.342 0.568
8 Cl 0.658 0.658 0.432
9 Cl 0.752 0.120 0.183
10 Cl 0.828 0.828 0.865
11 Cl 0.880 0.248 0.817

Properties
Final energy, eV/cell: -32.36

***

# SiHCl2

Crystalline SiHCl2 at its relaxed geometry (PBE, the Alexandria database).

a = 6.535 Å, b = 6.535 Å, c = 6.535 Å
α = 90.00°, β = 90.00°, γ = 90.00°
Sites, in units of the cell vectors:
1 Si 0.000 0.000 0.000
2 Si 0.000 0.500 0.500
3 Si 0.500 0.000 0.500
4 Si 0.500 0.500 0.000
5 H 0.000 0.000 0.500
6 H 0.000 0.500 0.000
7 H 0.500 0.000 0.000
8 H 0.500 0.500 0.500
9 Cl 0.250 0.250 0.250
10 Cl 0.250 0.250 0.750
11 Cl 0.250 0.750 0.250
12 Cl 0.250 0.750 0.750
13 Cl 0.750 0.250 0.250
14 Cl 0.750 0.250 0.750
15 Cl 0.750 0.750 0.250
16 Cl 0.750 0.750 0.750

Properties
E above lowest polymorph, eV/atom: 0.313

***

# SiHCl2

Crystalline SiHCl2 at its relaxed geometry (PBE, the Alexandria database).

a = 3.206 Å, b = 3.206 Å, c = 21.608 Å
α = 90.00°, β = 90.00°, γ = 120.00°
Sites, in units of the cell vectors:
1 Si 0.000 0.000 0.000
2 Si 0.333 0.667 0.667
3 Si 0.667 0.333 0.333
4 H 0.000 0.000 0.500
5 H 0.333 0.667 0.167
6 H 0.667 0.333 0.833
7 Cl 0.000 0.000 0.107
8 Cl 0.000 0.000 0.893
9 Cl 0.333 0.667 0.560
10 Cl 0.333 0.667 0.774
11 Cl 0.667 0.333 0.226
12 Cl 0.667 0.333 0.440

Properties
E above lowest polymorph, eV/atom: 0.331

***

# SiH6Cl2

Crystalline SiH6Cl2 at its relaxed geometry (PBE, the Alexandria database).

a = 4.490 Å, b = 4.490 Å, c = 7.088 Å
α = 103.57°, β = 103.57°, γ = 72.26°
Sites, in units of the cell vectors:
1 Si 0.000 0.000 0.000
2 H 0.071 0.929 0.500
3 H 0.143 0.718 0.119
4 H 0.282 0.857 0.881
5 H 0.718 0.143 0.119
6 H 0.857 0.282 0.881
7 H 0.929 0.071 0.500
8 Cl 0.314 0.314 0.231
9 Cl 0.686 0.686 0.769

Properties
Final energy, eV/cell: -29.01

***

# SiH2Cl

Crystalline SiH2Cl at its relaxed geometry (PBE, the Alexandria database).

a = 5.279 Å, b = 5.279 Å, c = 7.581 Å
α = 90.00°, β = 90.00°, γ = 90.00°
Sites, in units of the cell vectors:
1 Si 0.000 0.250 0.375
2 Si 0.000 0.750 0.625
3 Si 0.500 0.250 0.125
4 Si 0.500 0.750 0.875
5 H 0.000 0.000 0.500
6 H 0.000 0.500 0.500
7 H 0.250 0.250 0.250
8 H 0.250 0.750 0.750
9 H 0.500 0.000 0.000
10 H 0.500 0.500 0.000
11 H 0.750 0.250 0.250
12 H 0.750 0.750 0.750
13 Cl 0.000 0.250 0.875
14 Cl 0.000 0.750 0.125
15 Cl 0.500 0.250 0.625
16 Cl 0.500 0.750 0.375

Properties
E above lowest polymorph, eV/atom: 0.531

***

# SiH3Cl

Crystalline SiH3Cl at its relaxed geometry (PBE, the Alexandria database).

a = 3.673 Å, b = 3.673 Å, c = 3.673 Å
α = 90.00°, β = 90.00°, γ = 90.00°
Sites, in units of the cell vectors:
1 Si 0.000 0.000 0.000
2 H 0.000 0.500 0.500
3 H 0.500 0.000 0.500
4 H 0.500 0.500 0.000
5 Cl 0.500 0.500 0.500

Properties
Final energy, eV/cell: -10.86

***

# SiH4Cl

Crystalline SiH4Cl at its relaxed geometry (PBE, the Alexandria database).

a = 9.129 Å, b = 9.129 Å, c = 4.767 Å
α = 93.59°, β = 93.59°, γ = 30.90°
Sites, in units of the cell vectors:
1 Si 0.000 0.000 0.000
2 Si 0.500 0.500 0.500
3 H 0.139 0.139 0.882
4 H 0.243 0.752 0.752
5 H 0.248 0.757 0.248
6 H 0.415 0.415 0.469
7 H 0.585 0.585 0.531
8 H 0.752 0.243 0.752
9 H 0.757 0.248 0.248
10 H 0.861 0.861 0.118
11 Cl 0.191 0.191 0.698
12 Cl 0.809 0.809 0.302

Properties
Final energy, eV/cell: -39.60

***

# SiHCl2

Crystalline SiHCl2 at its relaxed geometry (PBE, the Alexandria database).

a = 8.459 Å, b = 8.459 Å, c = 9.257 Å
α = 90.00°, β = 90.00°, γ = 90.00°
Sites, in units of the cell vectors:
1 Si 0.000 0.000 0.000
2 Si 0.000 0.500 0.250
3 Si 0.500 0.000 0.750
4 Si 0.500 0.500 0.500
5 H 0.000 0.000 0.500
6 H 0.000 0.500 0.750
7 H 0.500 0.000 0.250
8 H 0.500 0.500 0.000
9 Cl 0.004 0.250 0.125
10 Cl 0.250 0.504 0.375
11 Cl 0.250 0.996 0.875
12 Cl 0.496 0.250 0.625
13 Cl 0.504 0.750 0.625
14 Cl 0.750 0.004 0.875
15 Cl 0.750 0.496 0.375
16 Cl 0.996 0.750 0.125

Properties
E above lowest polymorph, eV/atom: 0.190

***

# SiH4Cl2

Crystalline SiH4Cl2 at its relaxed geometry (PBE, the Alexandria database).

a = 9.200 Å, b = 5.082 Å, c = 5.857 Å
α = 90.00°, β = 122.33°, γ = 90.00°
Sites, in units of the cell vectors:
1 Si 0.000 0.000 0.000
2 Si 0.500 0.500 0.000
3 H 0.019 0.000 0.764
4 H 0.031 0.500 0.976
5 H 0.469 0.000 0.024
6 H 0.481 0.500 0.236
7 H 0.519 0.500 0.764
8 H 0.531 0.000 0.976
9 H 0.969 0.500 0.024
10 H 0.981 0.000 0.236
11 Cl 0.224 0.500 0.729
12 Cl 0.276 0.000 0.271
13 Cl 0.724 0.000 0.729
14 Cl 0.776 0.500 0.271

Properties
Final energy, eV/cell: -47.59

***

# SiH3Cl

Crystalline SiH3Cl at its relaxed geometry (PBE, the Alexandria database).

a = 5.800 Å, b = 5.800 Å, c = 5.800 Å
α = 77.05°, β = 77.05°, γ = 77.05°
Sites, in units of the cell vectors:
1 Si 0.171 0.171 0.171
2 Si 0.829 0.829 0.829
3 H 0.094 0.753 0.758
4 H 0.242 0.906 0.247
5 H 0.247 0.242 0.906
6 H 0.753 0.758 0.094
7 H 0.758 0.094 0.753
8 H 0.906 0.247 0.242
9 Cl 0.342 0.342 0.342
10 Cl 0.658 0.658 0.658

Properties
Final energy, eV/cell: -37.84

***

# Si2H6Cl

Crystalline Si2H6Cl at its relaxed geometry (PBE, the Alexandria database).

a = 7.073 Å, b = 7.073 Å, c = 4.614 Å
α = 101.31°, β = 101.31°, γ = 107.45°
Sites, in units of the cell vectors:
1 Si 0.169 0.288 0.190
2 Si 0.288 0.169 0.690
3 Si 0.712 0.831 0.310
4 Si 0.831 0.712 0.810
5 H 0.055 0.137 0.873
6 H 0.137 0.055 0.373
7 H 0.183 0.493 0.133
8 H 0.273 0.380 0.612
9 H 0.380 0.273 0.112
10 H 0.493 0.183 0.633
11 H 0.507 0.817 0.367
12 H 0.620 0.727 0.888
13 H 0.727 0.620 0.388
14 H 0.817 0.507 0.867
15 H 0.863 0.945 0.627
16 H 0.945 0.863 0.127
17 Cl 0.191 0.809 0.750
18 Cl 0.809 0.191 0.250

Properties
Final energy, eV/cell: -63.83

***

# SiHCl2

Crystalline SiHCl2 at its relaxed geometry (PBE, the Alexandria database).

a = 3.400 Å, b = 3.400 Å, c = 22.124 Å
α = 90.00°, β = 90.00°, γ = 120.00°
Sites, in units of the cell vectors:
1 Si 0.000 0.000 0.000
2 Si 0.333 0.667 0.667
3 Si 0.667 0.333 0.333
4 H 0.000 0.000 0.500
5 H 0.333 0.667 0.167
6 H 0.667 0.333 0.833
7 Cl 0.000 0.000 0.429
8 Cl 0.000 0.000 0.571
9 Cl 0.333 0.667 0.096
10 Cl 0.333 0.667 0.237
11 Cl 0.667 0.333 0.763
12 Cl 0.667 0.333 0.904

Properties
E above lowest polymorph, eV/atom: 0.000

***

# SiH2Cl

Crystalline SiH2Cl at its relaxed geometry (PBE, the Alexandria database).

a = 5.608 Å, b = 5.608 Å, c = 5.608 Å
α = 90.00°, β = 90.00°, γ = 90.00°
Sites, in units of the cell vectors:
1 Si 0.000 0.000 0.000
2 Si 0.000 0.500 0.500
3 Si 0.500 0.000 0.500
4 Si 0.500 0.500 0.000
5 H 0.250 0.250 0.250
6 H 0.250 0.250 0.750
7 H 0.250 0.750 0.250
8 H 0.250 0.750 0.750
9 H 0.750 0.250 0.250
10 H 0.750 0.250 0.750
11 H 0.750 0.750 0.250
12 H 0.750 0.750 0.750
13 Cl 0.000 0.000 0.500
14 Cl 0.000 0.500 0.000
15 Cl 0.500 0.000 0.000
16 Cl 0.500 0.500 0.500

Properties
E above lowest polymorph, eV/atom: 1.404

***

# SrSiHCl2

Crystalline SrSiHCl2 at its relaxed geometry (PBE, the Alexandria database).

a = 5.660 Å, b = 5.660 Å, c = 4.408 Å
α = 90.00°, β = 90.00°, γ = 90.00°
Sites, in units of the cell vectors:
1 Sr 0.000 0.000 0.000
2 Si 0.500 0.500 0.500
3 H 0.000 0.000 0.500
4 Cl 0.000 0.500 0.000
5 Cl 0.500 0.000 0.000

Properties
Final energy, eV/cell: -15.72

***

# TlSiH2Cl8

Crystalline TlSiH2Cl8 at its relaxed geometry (PBE, the Alexandria database).

a = 6.809 Å, b = 6.830 Å, c = 7.677 Å
α = 86.98°, β = 87.04°, γ = 80.18°
Sites, in units of the cell vectors:
1 Tl 0.000 0.000 0.000
2 Si 0.000 0.000 0.500
3 H 0.258 0.265 0.209
4 H 0.742 0.735 0.791
5 Cl 0.184 0.807 0.300
6 Cl 0.198 0.822 0.700
7 Cl 0.207 0.215 0.470
8 Cl 0.286 0.292 0.036
9 Cl 0.714 0.708 0.964
10 Cl 0.793 0.785 0.530
11 Cl 0.802 0.178 0.300
12 Cl 0.816 0.193 0.700

Properties
Final energy, eV/cell: -38.10

***

# SiHWCl2

Crystalline SiHWCl2 at its relaxed geometry (PBE, the Alexandria database).

a = 4.727 Å, b = 4.727 Å, c = 3.198 Å
α = 90.00°, β = 90.00°, γ = 90.00°
Sites, in units of the cell vectors:
1 Si 0.000 0.000 0.000
2 H 0.000 0.000 0.500
3 W 0.500 0.500 0.000
4 Cl 0.000 0.500 0.500
5 Cl 0.500 0.000 0.500

Properties
Final energy, eV/cell: -20.16

***

# Sm2HCl5

Crystalline Sm2HCl5 at its relaxed geometry (PBE, the Alexandria database).

a = 7.136 Å, b = 7.136 Å, c = 19.311 Å
α = 90.00°, β = 90.00°, γ = 151.21°
Sites, in units of the cell vectors:
1 Sm 0.231 0.769 0.654
2 Sm 0.231 0.769 0.846
3 Sm 0.769 0.231 0.154
4 Sm 0.769 0.231 0.346
5 H 0.326 0.674 0.250
6 H 0.674 0.326 0.750
7 Cl 0.141 0.859 0.250
8 Cl 0.167 0.833 0.077
9 Cl 0.167 0.833 0.423
10 Cl 0.404 0.596 0.112
11 Cl 0.404 0.596 0.388
12 Cl 0.596 0.404 0.612
13 Cl 0.596 0.404 0.888
14 Cl 0.833 0.167 0.577
15 Cl 0.833 0.167 0.923
16 Cl 0.859 0.141 0.750

Properties
Final energy, eV/cell: -71.47

***

# SmH2Cl3

Crystalline SmH2Cl3 at its relaxed geometry (PBE, the Alexandria database).

a = 5.409 Å, b = 7.560 Å, c = 8.192 Å
α = 90.64°, β = 90.07°, γ = 95.06°
Sites, in units of the cell vectors:
1 Sm 0.000 0.002 0.250
2 Sm 0.000 0.998 0.750
3 H 0.489 0.501 0.204
4 H 0.496 0.497 0.705
5 H 0.504 0.503 0.295
6 H 0.511 0.499 0.796
7 Cl 0.028 0.239 0.001
8 Cl 0.029 0.239 0.504
9 Cl 0.500 0.003 0.250
10 Cl 0.500 0.997 0.750
11 Cl 0.971 0.761 0.496
12 Cl 0.972 0.761 0.999

Properties
Final energy, eV/cell: -52.02

***

# SmHCl4

Crystalline SmHCl4 at its relaxed geometry (PBE, the Alexandria database).

a = 9.768 Å, b = 9.768 Å, c = 7.224 Å
α = 91.08°, β = 91.08°, γ = 142.84°
Sites, in units of the cell vectors:
1 Sm 0.055 0.945 0.750
2 Sm 0.945 0.055 0.250
3 H 0.344 0.656 0.250
4 H 0.656 0.344 0.750
5 Cl 0.117 0.436 0.141
6 Cl 0.180 0.278 0.582
7 Cl 0.278 0.180 0.082
8 Cl 0.436 0.117 0.641
9 Cl 0.564 0.883 0.359
10 Cl 0.722 0.820 0.918
11 Cl 0.820 0.722 0.418
12 Cl 0.883 0.564 0.859

Properties
Final energy, eV/cell: -50.71